Below is an optimized crystal structure of InMo2Os, with properties calculated at the PBE level. Values from VASP.

Summary:
DFT formation energy, eV per formula unit: 1.4
Density of states at the Fermi level, states/eV/f.u.: 3.1

Quantum ESPRESSO input file:
```
&SYSTEM
  ibrav = 0, nat = 4, ntyp = 3
/
ATOMIC_SPECIES
In 114.82 In.upf
Mo 95.94 Mo.upf
Os 190.23 Os.upf
CELL_PARAMETERS angstrom
-1.592 2.304 4.515
1.592 -2.304 4.515
1.592 2.304 -4.515
ATOMIC_POSITIONS crystal
In 0.000 0.000 0.000
Mo 0.268 0.768 0.500
Mo 0.497 0.497 0.000
Os 0.739 0.239 0.500
```

---

Below is an optimized crystal structure of Ca2WAu, with properties calculated at the PBE level. Values from VASP.

Summary:
DFT formation energy, eV per formula unit: 1.6
Density of states at the Fermi level, states/eV/f.u.: 3.5

Quantum ESPRESSO input file:
```
&SYSTEM
  ibrav = 0, nat = 4, ntyp = 3
/
ATOMIC_SPECIES
Ca 40.08 Ca.upf
W 183.84 W.upf
Au 196.97 Au.upf
CELL_PARAMETERS angstrom
3.252 0.000 0.000
0.000 3.252 0.000
0.000 0.000 9.315
ATOMIC_POSITIONS crystal
Ca 0.000 0.000 0.000
Ca 0.500 0.500 0.364
W 0.000 0.000 0.602
Au 0.500 0.500 0.773
```

---

Below is an optimized crystal structure of Th2TaCoN5, with properties calculated at the PBE level. Values from VASP.

Summary:
Density of states at the Fermi level, states/eV/f.u.: 2.4
Uncorrected formation energy, eV/atom: -1.063

Quantum ESPRESSO input file:
```
&SYSTEM
  ibrav = 0, nat = 18, ntyp = 4
/
ATOMIC_SPECIES
Th 232.04 Th.upf
Ta 180.95 Ta.upf
Co 58.93 Co.upf
N 14.01 N.upf
CELL_PARAMETERS angstrom
1.653 -6.664 0.000
1.653 6.664 0.000
0.000 0.000 10.454
ATOMIC_POSITIONS crystal
Th 0.106 0.894 0.500
Th 0.139 0.861 0.130
Th 0.861 0.139 0.630
Th 0.894 0.106 0.000
Ta 0.193 0.807 0.831
Ta 0.807 0.193 0.331
Co 0.468 0.532 0.270
Co 0.532 0.468 0.770
N 0.049 0.951 0.876
N 0.285 0.715 0.468
N 0.322 0.678 0.196
N 0.364 0.636 0.816
N 0.491 0.509 0.595
N 0.509 0.491 0.095
N 0.636 0.364 0.316
N 0.678 0.322 0.696
N 0.715 0.285 0.968
N 0.951 0.049 0.376
```

---

Below is an optimized crystal structure of SrLi2Tl, with properties calculated at the PBE level. Values from VASP.

Summary:
DFT formation energy, eV per formula unit: -0.2
Density of states at the Fermi level, states/eV/f.u.: 2.2

Quantum ESPRESSO input file:
```
&SYSTEM
  ibrav = 0, nat = 8, ntyp = 3
/
ATOMIC_SPECIES
Sr 87.62 Sr.upf
Li 6.94 Li.upf
Tl 204.38 Tl.upf
CELL_PARAMETERS angstrom
-2.476 2.476 10.071
2.476 -2.476 10.071
2.476 2.476 -10.071
ATOMIC_POSITIONS crystal
Sr 0.000 0.000 0.000
Sr 0.750 0.250 0.500
Li 0.297 0.625 0.172
Li 0.375 0.547 0.672
Li 0.453 0.125 0.828
Li 0.875 0.703 0.328
Tl 0.250 0.750 0.500
Tl 0.500 0.500 0.000
```

---

Below is an optimized crystal structure of Cr4SiCl, with properties calculated at the PBE level. Values from VASP.

Summary:
Density of states at the Fermi level, states/eV/f.u.: 6.6
Uncorrected formation energy, eV/atom: 0.740

Quantum ESPRESSO input file:
```
&SYSTEM
  ibrav = 0, nat = 6, ntyp = 3
/
ATOMIC_SPECIES
Cr 52.00 Cr.upf
Si 28.09 Si.upf
Cl 35.45 Cl.upf
CELL_PARAMETERS angstrom
0.000 3.405 3.405
3.405 0.000 3.405
3.405 3.405 0.000
ATOMIC_POSITIONS crystal
Cr 0.378 0.378 0.378
Cr 0.378 0.378 0.867
Cr 0.378 0.867 0.378
Cr 0.867 0.378 0.378
Si 0.000 0.000 0.000
Cl 0.750 0.750 0.750
```

---

Below is an optimized crystal structure of Pu2SnC, with properties calculated at the PBE level. Values from VASP.

Summary:
DFT formation energy, eV per formula unit: 1.1
Density of states at the Fermi level, states/eV/f.u.: 6.0

Quantum ESPRESSO input file:
```
&SYSTEM
  ibrav = 0, nat = 4, ntyp = 3
/
ATOMIC_SPECIES
Pu 244.00 Pu.upf
Sn 118.71 Sn.upf
C 12.01 C.upf
CELL_PARAMETERS angstrom
2.015 1.163 5.473
-2.015 1.163 5.473
0.000 -2.327 5.473
ATOMIC_POSITIONS crystal
Pu 0.191 0.191 0.191
Pu 0.809 0.809 0.809
Sn 0.000 0.000 0.000
C 0.500 0.500 0.500
```

---

Below is an optimized crystal structure of Li3Sc2, with properties calculated at the PBE level. Values from VASP.

Summary:
DFT formation energy, eV per formula unit: 1.3
Density of states at the Fermi level, states/eV/f.u.: 6.4

Quantum ESPRESSO input file:
```
&SYSTEM
  ibrav = 0, nat = 10, ntyp = 2
/
ATOMIC_SPECIES
Li 6.94 Li.upf
Sc 44.96 Sc.upf
CELL_PARAMETERS angstrom
0.000 7.259 2.801
5.160 0.000 2.801
5.160 7.259 0.000
ATOMIC_POSITIONS crystal
Li 0.000 0.000 0.000
Li 0.250 0.250 0.250
Li 0.325 0.434 0.462
Li 0.434 0.325 0.779
Li 0.471 0.788 0.816
Li 0.788 0.471 0.925
Sc 0.004 0.721 0.390
Sc 0.364 0.860 0.529
Sc 0.721 0.004 0.886
Sc 0.860 0.364 0.246
```

---

Below is an optimized crystal structure of YInPd6, with properties calculated at the PBE level. Values from VASP.

Summary:
DFT formation energy, eV per formula unit: -5.1
Density of states at the Fermi level, states/eV/f.u.: 7.9

Quantum ESPRESSO input file:
```
&SYSTEM
  ibrav = 0, nat = 8, ntyp = 3
/
ATOMIC_SPECIES
Y 88.91 Y.upf
In 114.82 In.upf
Pd 106.42 Pd.upf
CELL_PARAMETERS angstrom
4.090 0.000 0.000
0.000 4.090 0.000
0.000 0.000 8.172
ATOMIC_POSITIONS crystal
Y 0.000 0.000 0.000
In 0.000 0.000 0.500
Pd 0.000 0.500 0.257
Pd 0.000 0.500 0.743
Pd 0.500 0.000 0.257
Pd 0.500 0.000 0.743
Pd 0.500 0.500 0.000
Pd 0.500 0.500 0.500
```